1.
Pm3Pr6Nd2Mg | the Alexandria database | GGA-PBE | optimized geometry; E = -53.9 eV for the cell shown; ΔE_f = 0.01 eV per atom; space-group type = No. 12
1.0
-3.0400 -3.8447 -4.0289
6.0865 -1.0739 1.4343
-4.3790 -5.2307 9.9682
Nd Pr Mg Pm
2 6 1 3
Direct
0.3327 0.6673 0.0000
0.6673 0.3327 0.0000
0.7518 0.7518 0.2498
0.4123 0.0819 0.2485
0.5877 0.9181 0.7515
0.9181 0.5877 0.7515
0.2482 0.2482 0.7502
0.0819 0.4123 0.2485
0.0000 0.0000 0.0000
0.8333 0.1667 0.5000
0.5000 0.5000 0.5000
0.1667 0.8333 0.5000

---

2.
AgTeOs2 | the Alexandria database | GGA-PBE | optimized geometry; energy relative to the elements, uncorrected = 1.100 eV/atom; E = -48.1 eV for the cell shown; space-group type = No. 122
1.0
4.0811 0.0000 0.0000
0.0000 4.0811 0.0000
2.0405 2.0405 9.7225
Os Ag Te
4 2 2
Direct
0.7147 0.1250 0.2500
0.3750 0.2853 0.7500
0.0353 0.6250 0.2500
0.8750 0.9647 0.7500
0.2500 0.7500 0.5000
0.5000 0.5000 0.0000
0.7500 0.2500 0.5000
0.0000 0.0000 0.0000

---

3.
Er3Au2 | the Alexandria database | GGA-PBE | optimized geometry; E = -94.7 eV for the cell shown; ΔE_f = -0.69 eV per atom; offset from the most stable computed form = 0.16 eV/f.u.; space-group type = No. 62
1.0
-1.9596 2.5496 -1.8677
-8.6243 -0.2526 8.7039
5.3894 8.2289 5.5790
Er Au
12 8
Direct
0.7500 0.4555 0.1312
0.2500 0.6329 0.5590
0.2500 0.2179 0.2176
0.2500 0.8671 0.0590
0.2500 0.2821 0.7176
0.2500 0.9555 0.3688
0.7500 0.7179 0.2824
0.2500 0.5445 0.8688
0.7500 0.1329 0.9410
0.7500 0.3671 0.4410
0.7500 0.7821 0.7824
0.7500 0.0445 0.6312
0.2500 0.5253 0.3207
0.7500 0.0253 0.1793
0.7500 0.6785 0.0192
0.7500 0.8215 0.5192
0.7500 0.4747 0.6793
0.2500 0.3215 0.9808
0.2500 0.1785 0.4808
0.2500 0.9747 0.8207

---

4.
NaLiCdGa | the Alexandria database | GGA-PBE | optimized geometry; E = -7.8 eV for the cell shown; ΔE_f = -0.15 eV per atom; space-group type = No. 216
1.0
-1.4167 3.8868 -2.5174
-3.3988 -0.4381 -3.4216
-4.4091 1.8716 0.7131
Cd Ga Na Li
1 1 1 1
Direct
0.7500 0.7500 0.7500
0.0000 0.0000 0.0000
0.5000 0.5000 0.5000
0.2500 0.2500 0.2500

---

5.
PuNp2TaN4 | the Alexandria database | GGA-PBE | optimized geometry; energy relative to the elements, uncorrected = -1.153 eV/atom; E = -94.6 eV for the cell shown; space-group type = No. 10
1.0
-1.2411 2.7921 1.2838
1.1750 -1.9556 5.3891
4.6024 2.9354 -1.9347
Np N Ta Pu
2 4 1 1
Direct
0.0000 0.5000 0.5000
0.5000 0.0000 0.5000
0.0000 0.2291 0.7594
0.0000 0.7709 0.2406
0.5000 0.2211 0.2275
0.5000 0.7789 0.7725
0.0000 0.0000 0.0000
0.5000 0.5000 0.0000

---

6.
UZn2Br8 | the Alexandria database | GGA-PBE | optimized geometry; energy relative to the elements, uncorrected = -1.002 eV/atom; E = -38.2 eV for the cell shown; space-group type = No. 12
1.0
6.5914 -0.5484 -0.3830
0.4066 8.3908 0.3873
0.4066 3.2513 7.7450
Zn Br U
2 8 1
Direct
0.6329 0.1846 0.1846
0.3671 0.8154 0.8154
0.2423 0.1259 0.7031
0.2423 0.7031 0.1259
0.7577 0.8741 0.2969
0.7463 0.8360 0.8360
0.7577 0.2969 0.8741
0.2763 0.6574 0.6574
0.7237 0.3426 0.3426
0.2537 0.1640 0.1640
0.0000 0.0000 0.0000

---

7.
K2Au3S3 | the Alexandria database | GGA-PBE | optimized geometry; energy relative to the elements, uncorrected = -0.520 eV/atom; E = -28.6 eV for the cell shown; space-group type = No. 5
1.0
5.6512 0.0977 0.1614
0.1725 7.9447 -0.1194
0.1573 -0.1384 5.6492
S Au K
3 3 2
Direct
0.1725 0.6423 0.7124
0.7885 0.0000 0.7887
0.7126 0.3576 0.1726
0.7474 0.1787 0.4833
0.4422 0.5000 0.4421
0.4832 0.8213 0.7474
0.9190 0.7460 0.2346
0.2346 0.2540 0.9189

---

8.
BaLi10Pd3 | the Alexandria database | GGA-PBE | optimized geometry; E = -77.5 eV for the cell shown; ΔE_f = -0.15 eV per atom; space-group type = No. 225
1.0
-2.0126 -5.0050 7.6664
4.9624 -7.6946 2.0104
5.9042 0.0000 7.2811
Pd Li Ba
6 20 2
Direct
0.7346 0.2654 0.7346
0.7346 0.2654 0.2654
0.2654 0.2654 0.7346
0.7346 0.7346 0.2654
0.2654 0.7346 0.7346
0.2654 0.7346 0.2654
0.0000 0.0000 0.3267
0.0000 0.3267 0.0000
0.3267 0.0000 0.0000
0.0000 0.6733 0.3267
0.0000 0.3267 0.6733
0.3968 0.3968 0.8097
0.3267 0.6733 0.0000
0.8097 0.3968 0.3968
0.3968 0.8097 0.3968
0.6733 0.0000 0.0000
0.1903 0.6032 0.6032
0.0000 0.0000 0.6733
0.0000 0.6733 0.0000
0.6733 0.3267 0.0000
0.6032 0.1903 0.6032
0.3267 0.0000 0.6733
0.6733 0.0000 0.3267
0.6032 0.6032 0.6032
0.3968 0.3968 0.3968
0.6032 0.6032 0.1903
0.7500 0.7500 0.7500
0.2500 0.2500 0.2500

---

9.
Er2HfTe2N2 | the Alexandria database | GGA-PBE | optimized geometry; energy relative to the elements, uncorrected = -1.432 eV/atom; E = -52.0 eV for the cell shown; space-group type = No. 139
1.0
4.1674 0.0000 0.0000
0.0000 4.1674 0.0000
-2.0837 -2.0837 8.9703
N Er Te Hf
2 2 2 1
Direct
0.0000 0.5000 0.0000
0.5000 0.0000 0.0000
0.5888 0.5888 0.1776
0.4112 0.4112 0.8224
0.1668 0.1668 0.3336
0.8332 0.8332 0.6664
0.0000 0.0000 0.0000

---

10.
Tl3Sn2Pb4 | the Alexandria database | GGA-PBE | optimized geometry; E = -29.8 eV for the cell shown; ΔE_f = 0.02 eV per atom; offset from the most stable computed form = 0.00 eV/f.u.; space-group type = No. 12
1.0
4.9087 0.0000 0.0000
-2.4543 5.3836 0.8924
0.0000 1.2202 10.6073
Tl Pb Sn
3 4 2
Direct
0.6684 0.3367 0.4434
0.3316 0.6633 0.5566
0.0000 0.0000 0.0000
0.0009 0.0018 0.6709
0.3361 0.6722 0.8881
0.9991 0.9982 0.3291
0.6639 0.3278 0.1119
0.3305 0.6610 0.2173
0.6695 0.3390 0.7827

---

11.
AgTe2WN | the Alexandria database | GGA-PBE | optimized geometry; energy relative to the elements, uncorrected = 1.810 eV/atom; E = -21.4 eV for the cell shown; offset from the most stable computed form = 7.21 eV/f.u.; space-group type = No. 123
1.0
5.4464 0.0000 0.0000
0.0000 5.4464 0.0000
0.0000 0.0000 3.8346
Te N Ag W
2 1 1 1
Direct
0.5000 0.0000 0.0000
0.0000 0.5000 0.0000
0.0000 0.0000 0.5000
0.0000 0.0000 0.0000
0.5000 0.5000 0.5000

---

12.
Th4RuSe2Cl | the Alexandria database | GGA-PBE | optimized geometry; energy relative to the elements, uncorrected = -1.179 eV/atom; E = -57.2 eV for the cell shown; space-group type = No. 10
1.0
4.0674 0.0000 0.0000
0.0000 7.4763 -0.2369
0.0000 2.5486 6.7577
Th Se Ru Cl
4 2 1 1
Direct
0.0000 0.2589 0.2544
0.0000 0.7411 0.7456
0.5000 0.2739 0.7264
0.5000 0.7261 0.2736
0.0000 0.0000 0.0000
0.5000 0.0000 0.5000
0.0000 0.5000 0.5000
0.5000 0.5000 0.0000